Record 1
Compound: LiCrW2
Source: the Alexandria database
Functional: GGA-PBE
Structure: optimized geometry

Summary:
E above lowest polymorph, meV per atom: 42.5
Final energy, eV for the cell shown: -35.9
SG: No. 35
Calculated density, Mg/m³: 11.7

a b c (Å): 2.676 2.676 8.988
angles (deg): 90.00 90.00 109.86
Element x y z (fractional)
W: 0.000 0.000 0.007
Cr: 0.000 0.000 0.489
Li: 0.500 0.500 0.740
W: 0.500 0.500 0.263


Record 2
Compound: LiCrW2
Source: the Alexandria database
Functional: GGA-PBE
Structure: optimized geometry

Summary:
E above lowest polymorph, meV per atom: 130.3
Final energy, eV for the cell shown: -35.6
SG: No. 44
Calculated density, Mg/m³: 12.5

a b c (Å): 5.017 5.017 5.017
angles (deg): 144.28 129.04 63.78
Element x y z (fractional)
W: 0.734 0.234 0.500
Li: 0.262 0.762 0.500
Cr: 0.509 0.509 0.000
W: 0.996 0.996 0.000


no.,energy of formation from the pure elements (eV/atom)
1,0.375
2,0.463